Na2Cr2SbO6 (PBE+U, optimized geometry); E = -70.1 eV for the cell shown
1.0
2.760 -4.586 0.000
2.760 4.586 0.000
-2.024 0.000 5.561
Na Cr Sb O
2 2 1 6
Cartesian
2.760 2.969 0.000
2.760 -2.969 0.000
1.748 1.521 2.780
1.748 -1.521 2.780
-1.012 0.000 2.780
-0.214 1.513 3.876
0.744 0.000 1.748
-0.214 -1.513 3.876
3.709 1.513 1.684
2.751 0.000 3.813
3.709 -1.513 1.684